Record 1
Zr3CuBr meta-GGA SCAN single point on PBEsol structure; total DFT energy (no corrections) = -123.54 eV/cell; formation energy from raw total energies = 3.21 eV/f.u.; space group = Pm-3m; spin magnetization = 0.00 μB/cell
1.0
-3.9271 0.4033 2.8529
0.6243 -4.5891 1.5081
2.8128 1.5816 3.6483
Br Zr Cu
1 3 1
direct
0.0000 0.0000 0.0000
0.5000 0.0000 0.0000
0.0000 0.0000 0.5000
0.0000 0.5000 0.0000
0.5000 0.5000 0.5000


Record 2
Rb2LiDyBr6 meta-GGA SCAN single point on PBEsol structure; total DFT energy (no corrections) = -228.29 eV/cell; formation energy from raw total energies = -19.87 eV/f.u.; space group = Fm-3m; spin magnetization = 0.00 μB/cell
1.0
7.6584 0.0000 0.0000
3.8292 6.6324 0.0000
3.8292 2.2108 6.2531
Br Dy Rb Li
6 1 2 1
direct
0.2535 0.2535 0.7465
0.7465 0.2535 0.7465
0.7465 0.7465 0.2535
0.2535 0.7465 0.7465
0.2535 0.7465 0.2535
0.7465 0.2535 0.2535
0.0000 0.0000 0.0000
0.2500 0.2500 0.2500
0.7500 0.7500 0.7500
0.5000 0.5000 0.5000


Record 3
Na3DyBr6 meta-GGA SCAN single point on PBEsol structure; total DFT energy (no corrections) = -391.95 eV/cell; formation energy from raw total energies = -18.78 eV/f.u.; space group = P2_1/c; spin magnetization = 0.00 μB/cell
1.0
7.1029 0.0000 0.0492
0.0000 7.6772 0.0000
0.1049 0.0000 10.5884
Br Dy Na
12 2 6
direct
0.1490 0.0600 0.7592
0.3176 0.8205 0.0694
0.8176 0.6795 0.5694
0.8510 0.9400 0.2408
0.6490 0.4400 0.2592
0.6669 0.1933 0.5790
0.6824 0.1795 0.9306
0.3331 0.8067 0.4210
0.1824 0.3205 0.4306
0.3510 0.5600 0.7408
0.1669 0.3067 0.0790
0.8331 0.6933 0.9210
0.5000 0.5000 0.5000
0.0000 0.0000 0.0000
0.0378 0.5944 0.2582
0.5378 0.9056 0.7582
0.0000 0.0000 0.5000
0.9622 0.4056 0.7418
0.5000 0.5000 0.0000
0.4622 0.0944 0.2418


Record 4
DyBr3O6 meta-GGA SCAN single point on PBEsol structure; total DFT energy (no corrections) = -301.76 eV/cell; formation energy from raw total energies = -7.32 eV/f.u.; space group = P2/c; spin magnetization = 0.00 μB/cell
1.0
5.2583 0.0000 -0.3815
0.0000 6.1091 0.0000
-2.8800 0.0000 11.4783
Dy O Br
2 12 6
direct
0.2500 0.6170 0.7500
0.7500 0.3830 0.2500
0.1001 0.3508 0.8455
0.5225 0.1277 0.3166
0.4179 0.3558 0.0838
0.9775 0.1277 0.1834
0.0821 0.3558 0.4162
0.5821 0.6442 0.9162
0.6001 0.6492 0.3455
0.4775 0.8723 0.6834
0.9179 0.6442 0.5838
0.0225 0.8723 0.8166
0.8999 0.6492 0.1545
0.3999 0.3508 0.6545
0.7500 0.0452 0.7500
0.2500 0.9548 0.2500
0.7335 0.8166 0.0333
0.2665 0.1834 0.9667
0.7665 0.8166 0.4667
0.2335 0.1834 0.5333


Record 5
DySBr meta-GGA SCAN single point on PBEsol structure; total DFT energy (no corrections) = -167.25 eV/cell; formation energy from raw total energies = -6.74 eV/f.u.; space group = Pmmn; spin magnetization = 0.00 μB/cell
1.0
-1.8495 -2.6931 -2.3197
0.5127 -3.6452 3.8232
-7.4802 2.3462 3.2400
Br Dy S
2 2 2
direct
0.0000 0.5000 0.6377
0.5000 0.0000 0.3623
0.0000 0.0000 0.1333
0.5000 0.5000 0.8667
0.0000 0.5000 0.0822
0.5000 0.0000 0.9178


Record 6
Li3ErBr6 meta-GGA SCAN single point on PBEsol structure; total DFT energy (no corrections) = -192.74 eV/cell; formation energy from raw total energies = -18.48 eV/f.u.; space group = C2; spin magnetization = 0.00 μB/cell
1.0
-4.6585 -3.9727 -2.8486
3.9537 -2.4378 4.9013
-4.0095 4.0209 3.6593
Li Er Br
3 1 6
direct
0.1600 0.8400 0.5000
0.6681 0.3319 0.0000
0.3281 0.6719 0.0000
0.9978 0.0022 0.0000
0.5769 0.9192 0.7624
0.4064 0.0732 0.2513
0.9268 0.5936 0.7487
0.2591 0.2491 0.7582
0.7509 0.7409 0.2418
0.0808 0.4231 0.2376


Record 7
Li3ErBr6 meta-GGA SCAN single point on PBEsol structure; total DFT energy (no corrections) = -385.41 eV/cell; formation energy from raw total energies = -18.44 eV/f.u.; space group = C2/c; spin magnetization = 0.00 μB/cell
1.0
-2.7198 3.8842 4.7876
-3.7126 -1.8877 -5.2971
-1.5650 -11.0529 6.4801
Br Li Er
12 6 2
direct
0.9471 0.7880 0.3776
0.2120 0.0529 0.1224
0.2946 0.4585 0.3771
0.7054 0.5415 0.6229
0.3816 0.8708 0.6217
0.0529 0.2120 0.6224
0.7880 0.9471 0.8776
0.5415 0.7054 0.1229
0.4585 0.2946 0.8771
0.1292 0.6184 0.8783
0.8708 0.3816 0.1217
0.6184 0.1292 0.3783
0.8208 0.6607 0.9998
0.3393 0.1792 0.5002
0.4124 0.5876 0.7500
0.6607 0.8208 0.4998
0.1792 0.3393 0.0002
0.5876 0.4124 0.2500
0.0000 0.5000 0.5000
0.5000 0.0000 0.0000


Record 8
ErMoBrO4 meta-GGA SCAN single point on PBEsol structure; total DFT energy (no corrections) = -592.50 eV/cell; formation energy from raw total energies = -18.52 eV/f.u.; space group = P-1; spin magnetization = 0.00 μB/cell
1.0
-3.2074 -2.8389 -5.3483
6.6011 -1.5403 -2.3200
-1.1350 -6.5331 8.3880
Br O Mo Er
4 16 4 4
direct
0.7375 0.9878 0.4798
0.2625 0.0122 0.5202
0.8079 0.2803 0.0149
0.1921 0.7197 0.9851
0.4061 0.9885 0.8138
0.6500 0.6289 0.1990
0.3347 0.4976 0.5532
0.3458 0.2203 0.2962
0.7265 0.3921 0.6957
0.3500 0.3711 0.8010
0.6653 0.5024 0.4468
0.0037 0.1111 0.7964
0.0356 0.6540 0.6700
0.6572 0.7359 0.9569
0.5939 0.0115 0.1862
0.2735 0.6079 0.3043
0.9963 0.8889 0.2036
0.6542 0.7797 0.7038
0.3428 0.2641 0.0431
0.9644 0.3460 0.3300
0.7266 0.8167 0.1335
0.2734 0.1833 0.8665
0.7679 0.5851 0.6259
0.2321 0.4149 0.3741
0.6215 0.3353 0.2331
0.3785 0.6647 0.7669
0.3385 0.9002 0.2697
0.6615 0.0998 0.7303


Record 9
Na3ErBr6 meta-GGA SCAN single point on PBEsol structure; total DFT energy (no corrections) = -397.00 eV/cell; formation energy from raw total energies = -18.76 eV/f.u.; space group = P2_1/c; spin magnetization = 0.00 μB/cell
1.0
7.0839 0.0000 -0.0686
0.0000 7.6587 0.0000
-0.0787 0.0000 10.5485
Er Br Na
2 12 6
direct
0.0000 0.0000 0.0000
0.5000 0.5000 0.5000
0.6476 0.4410 0.7398
0.8524 0.9410 0.7602
0.3524 0.5590 0.2602
0.6839 0.1788 0.0680
0.3341 0.8051 0.5787
0.8341 0.6949 0.0787
0.6659 0.1949 0.4213
0.1839 0.3212 0.5680
0.1659 0.3051 0.9213
0.1476 0.0590 0.2398
0.3161 0.8212 0.9320
0.8161 0.6788 0.4320
0.9624 0.4061 0.2585
0.5376 0.9061 0.2415
0.0376 0.5939 0.7415
0.4624 0.0939 0.7585
0.0000 0.0000 0.5000
0.5000 0.5000 0.0000


Record 10
Er4OsBr4 meta-GGA SCAN single point on PBEsol structure; total DFT energy (no corrections) = -728.52 eV/cell; formation energy from raw total energies = -13.18 eV/f.u.; space group = C2/c; spin magnetization = 0.00 μB/cell
1.0
6.3980 0.0025 0.0025
0.0807 8.7018 0.0070
0.0807 0.1031 8.7012
Er Br Os
8 8 2
direct
0.4905 0.0994 0.7485
0.9905 0.7485 0.0994
0.5095 0.9006 0.2515
0.0095 0.2515 0.9006
0.5083 0.7499 0.9026
0.9917 0.0974 0.2501
0.4917 0.2501 0.0974
0.0083 0.9026 0.7499
0.5949 0.1916 0.4164
0.4071 0.4217 0.8149
0.9051 0.5836 0.8084
0.9071 0.8149 0.4217
0.4051 0.8084 0.5836
0.5929 0.5783 0.1851
0.0949 0.4164 0.1916
0.0929 0.1851 0.5783
0.2500 0.9950 0.0050
0.7500 0.0050 0.9950


Record 11
EuBr2 meta-GGA SCAN single point on PBEsol structure; total DFT energy (no corrections) = -198.53 eV/cell; formation energy from raw total energies = -6.63 eV/f.u.; space group = P4_2/mnm; spin magnetization = 14.00 μB/cell
1.0
4.5028 0.0000 0.0000
0.0000 6.9701 0.0000
0.0000 0.0000 6.9701
Br Eu
4 2
direct
0.5000 0.8023 0.1977
0.0000 0.6977 0.6977
0.0000 0.3023 0.3023
0.5000 0.1977 0.8023
0.0000 0.0000 0.0000
0.5000 0.5000 0.5000


Record 12
EuBr3 meta-GGA SCAN single point on PBEsol structure; total DFT energy (no corrections) = -237.90 eV/cell; formation energy from raw total energies = -6.86 eV/f.u.; space group = Cmcm; spin magnetization = 12.06 μB/cell
1.0
-0.8255 2.8717 -2.7483
-5.8891 -2.0032 2.6742
0.7405 6.2649 6.3237
Br Eu
6 2
direct
0.6438 0.2875 0.4360
0.3562 0.7125 0.5640
0.9136 0.8272 0.2500
0.0864 0.1728 0.7500
0.3562 0.7125 0.9360
0.6438 0.2875 0.0640
0.7452 0.4903 0.7500
0.2548 0.5097 0.2500


Record 13
EuIBr meta-GGA SCAN single point on PBEsol structure; total DFT energy (no corrections) = -463.73 eV/cell; formation energy from raw total energies = -6.02 eV/f.u.; space group = Pnma; spin magnetization = 28.00 μB/cell
1.0
-0.6133 2.0306 -4.1519
-7.0057 -4.1937 -1.0162
-4.8587 7.1012 4.1908
I Eu Br
4 4 4
direct
0.7500 0.9731 0.6661
0.7500 0.4731 0.8339
0.2500 0.5269 0.1661
0.2500 0.0269 0.3339
0.2500 0.2732 0.6304
0.7500 0.7268 0.3696
0.2500 0.7732 0.8696
0.7500 0.2268 0.1304
0.7500 0.3556 0.4355
0.2500 0.1444 0.9355
0.7500 0.8556 0.0645
0.2500 0.6444 0.5645


Record 14
Eu4Br6O meta-GGA SCAN single point on PBEsol structure; total DFT energy (no corrections) = -729.36 eV/cell; formation energy from raw total energies = -26.85 eV/f.u.; space group = P6_3mc; spin magnetization = 56.00 μB/cell
1.0
7.3668 0.0000 0.0000
0.0000 9.6406 0.0000
0.0000 -4.8203 8.3490
Eu Br O
8 12 2
direct
0.5004 0.5987 0.7994
0.0004 0.4013 0.2006
0.5848 0.6667 0.3333
0.5004 0.2006 0.7994
0.0004 0.7994 0.5987
0.5004 0.2006 0.4013
0.0004 0.7994 0.2006
0.0848 0.3333 0.6667
0.1137 0.7218 0.8609
0.2946 0.5334 0.0669
0.1137 0.1391 0.2782
0.6137 0.8609 0.1391
0.2946 0.9331 0.4666
0.6137 0.8609 0.7218
0.7946 0.4666 0.9331
0.1137 0.1391 0.8609
0.6137 0.2782 0.1391
0.7946 0.4666 0.5334
0.2946 0.5334 0.4666
0.7946 0.0669 0.5334
0.9000 0.6667 0.3333
0.4000 0.3333 0.6667


Record 15
Eu3BrO4 meta-GGA SCAN single point on PBEsol structure; total DFT energy (no corrections) = -456.33 eV/cell; formation energy from raw total energies = -22.65 eV/f.u.; space group = Cmcm; spin magnetization = 36.00 μB/cell
1.0
4.1249 0.0000 0.0000
-2.0624 5.9738 0.0000
0.0000 0.0000 11.7195
O Eu Br
8 6 2
direct
0.6984 0.3968 0.7500
0.2343 0.4686 0.5888
0.3016 0.6032 0.2500
0.7657 0.5314 0.0888
0.2343 0.4686 0.9112
0.7657 0.5314 0.4112
0.9371 0.8742 0.7500
0.0629 0.1258 0.2500
0.1781 0.3561 0.4004
0.8769 0.7538 0.2500
0.1231 0.2462 0.7500
0.8219 0.6439 0.5996
0.1781 0.3561 0.0996
0.8219 0.6439 0.9004
0.5000 0.0000 0.5000
0.5000 0.0000 0.0000


Record 16
Eu2PBr meta-GGA SCAN single point on PBEsol structure; total DFT energy (no corrections) = -144.35 eV/cell; formation energy from raw total energies = -7.06 eV/f.u.; space group = R-3m; spin magnetization = 14.00 μB/cell
1.0
4.2132 0.0000 0.0000
2.1066 3.6488 0.0000
2.1066 1.2163 6.9913
P Eu Br
1 2 1
direct
0.5000 0.5000 0.5000
0.2394 0.2394 0.2818
0.7606 0.7606 0.7182
0.0000 0.0000 0.0000


Record 17
BrF5 meta-GGA SCAN single point on PBEsol structure; total DFT energy (no corrections) = -85.91 eV/cell; formation energy from raw total energies = -5.79 eV/f.u.; space group = Cmc2_1; spin magnetization = 0.00 μB/cell
1.0
5.0669 0.0736 0.0000
-0.5091 5.0418 0.0000
0.0000 0.0000 7.4218
F Br
10 2
direct
0.9157 0.5584 0.7552
0.6474 0.3526 0.0917
0.9990 0.0010 0.9288
0.3526 0.6474 0.5917
0.0010 0.9990 0.4288
0.3238 0.6762 0.9160
0.4416 0.0843 0.7552
0.0843 0.4416 0.2552
0.6762 0.3238 0.4160
0.5584 0.9157 0.2552
0.1667 0.8333 0.7431
0.8333 0.1667 0.2431


Record 18
BrF3 meta-GGA SCAN single point on PBEsol structure; total DFT energy (no corrections) = -67.42 eV/cell; formation energy from raw total energies = -3.63 eV/f.u.; space group = Cmc2_1; spin magnetization = 0.00 μB/cell
1.0
-2.8846 2.5863 2.9412
1.1335 -4.2430 2.0912
4.7985 2.5125 2.4969
F Br
6 2
direct
0.7273 0.2727 0.5075
0.3622 0.6378 0.5989
0.9411 0.0589 0.9198
0.2727 0.7273 0.0075
0.6378 0.3622 0.0989
0.0589 0.9411 0.4198
0.8356 0.1644 0.2438
0.1644 0.8356 0.7438


Record 19
Fe2Br2F meta-GGA SCAN single point on PBEsol structure; total DFT energy (no corrections) = -80.49 eV/cell; formation energy from raw total energies = -1.77 eV/f.u.; space group = I4/mmm; spin magnetization = 6.41 μB/cell
1.0
3.4933 0.0000 0.0000
0.0000 3.4933 0.0000
-1.7466 -1.7466 6.7283
Fe Br F
2 2 1
direct
0.2500 0.7500 0.5000
0.7500 0.2500 0.5000
0.3797 0.3797 0.7595
0.6203 0.6203 0.2405
0.0000 0.0000 0.0000


Record 20
FeIrBrF2 meta-GGA SCAN single point on PBEsol structure; total DFT energy (no corrections) = -116.38 eV/cell; formation energy from raw total energies = -0.61 eV/f.u.; space group = P4/mmm; spin magnetization = 3.38 μB/cell
1.0
4.0211 0.0000 0.0000
0.0000 4.0211 0.0000
0.0000 0.0000 5.2439
Br F Ir Fe
1 2 1 1
direct
0.0000 0.0000 0.5000
0.0000 0.5000 0.0000
0.5000 0.0000 0.0000
0.0000 0.0000 0.0000
0.5000 0.5000 0.5000